# 1
# RbFeTeAuSe2

A geometry-optimized RbFeTeAuSe2 structure (PBE-GGA, the Open Quantum Materials Database).

a = 3.6958 Å, b = 16.8283 Å, c = 10.5302 Å
α = 90.00°, β = 90.00°, γ = 90.00°
Space group Cmcm (No. 63)
One atom of each set of equivalent atoms:
1 Rb 0.0000 0.2377 0.2500 (multiplicity 4)
2 Fe 0.0000 0.0000 0.0000 (multiplicity 4)
3 Te 0.0000 0.0687 0.7500 (multiplicity 4)
4 Au 0.0000 0.4382 0.7500 (multiplicity 4)
5 Se 0.0000 0.3956 0.5204 (multiplicity 8)

Values from the calculation:
The magnetization is 0.54 μB per atom. The total energy is -97.02 eV/cell. The density is 6.3 g/cm3.

# 2
# RbFeTe2AuSe

A geometry-optimized RbFeTe2AuSe structure (PBE-GGA, the Open Quantum Materials Database).

a = 3.9702 Å, b = 16.0112 Å, c = 10.8471 Å
α = 90.00°, β = 90.00°, γ = 90.00°
Space group Cmcm (No. 63)
One atom of each set of equivalent atoms:
1 Rb 0.0000 0.2446 0.2500 (multiplicity 4)
2 Fe 0.0000 0.0000 0.0000 (multiplicity 4)
3 Te 0.0000 0.3884 0.5201 (multiplicity 8)
4 Au 0.0000 0.4516 0.7500 (multiplicity 4)
5 Se 0.0000 0.0616 0.7500 (multiplicity 4)

Values from the calculation:
The magnetization is 0.45 μB per atom. The total energy is -93.70 eV/cell. The density is 6.5 g/cm3.

# 3
# FeReSbAu

A geometry-optimized FeReSbAu structure (PBE-GGA, the Open Quantum Materials Database).

a = 6.4002 Å, b = 6.4002 Å, c = 6.4002 Å
α = 90.00°, β = 90.00°, γ = 90.00°
Space group F-43m (No. 216)
One atom of each set of equivalent atoms:
1 Fe 0.0000 0.0000 0.0000 (multiplicity 4)
2 Re 0.0000 0.0000 0.5000 (multiplicity 4)
3 Sb 0.2500 0.2500 0.7500 (multiplicity 4)
4 Au 0.2500 0.2500 0.2500 (multiplicity 4)

Values from the calculation:
The magnetization is 0.62 μB per atom. The calculation puts the energy above the most stable polymorph in this dataset at 0.00 eV/f.u. The density is 14.2 g/cm3.

# 4
# TlFeReAu

A geometry-optimized TlFeReAu structure (PBE-GGA, the Open Quantum Materials Database).

a = 6.4755 Å, b = 6.4755 Å, c = 6.4755 Å
α = 90.00°, β = 90.00°, γ = 90.00°
Space group F-43m (No. 216)
One atom of each set of equivalent atoms:
1 Tl 0.0000 0.0000 0.0000 (multiplicity 4)
2 Fe 0.2500 0.2500 0.2500 (multiplicity 4)
3 Re 0.2500 0.2500 0.7500 (multiplicity 4)
4 Au 0.0000 0.0000 0.5000 (multiplicity 4)

Values from the calculation:
The magnetization is 0.91 μB per atom. The calculation puts the energy above the most stable polymorph in this dataset at 0.00 eV/f.u. The density is 15.7 g/cm3.

# 5
# TlFeAuSe2S

A geometry-optimized TlFeAuSe2S structure (PBE-GGA, the Open Quantum Materials Database).

a = 3.7635 Å, b = 15.6065 Å, c = 9.4894 Å
α = 90.00°, β = 90.00°, γ = 90.00°
Space group Cmcm (No. 63)
One atom of each set of equivalent atoms:
1 Tl 0.0000 0.2284 0.2500 (multiplicity 4)
2 Fe 0.0000 0.5000 0.0000 (multiplicity 4)
3 Au 0.0000 0.1284 0.7500 (multiplicity 4)
4 Se 0.0000 0.1032 0.0112 (multiplicity 8)
5 S 0.0000 0.4990 0.2500 (multiplicity 4)

Values from the calculation:
The magnetization is 0.41 μB per atom. The total energy is -101.94 eV/cell. The density is 7.7 g/cm3.

# 6
# FeSnAuS3

A geometry-optimized FeSnAuS3 structure (PBE-GGA, the Open Quantum Materials Database).

a = 3.4778 Å, b = 14.8732 Å, c = 9.1591 Å
α = 90.00°, β = 90.00°, γ = 90.00°
Space group Cmcm (No. 63)
One atom of each set of equivalent atoms:
1 Fe 0.0000 0.0000 0.0000 (multiplicity 4)
2 Sn 0.0000 0.3328 0.2500 (multiplicity 4)
3 Au 0.0000 0.3140 0.7500 (multiplicity 4)
4 S 0.0000 0.0351 0.7500 (multiplicity 4)
5 S 0.0000 0.3994 0.5239 (multiplicity 8)

Values from the calculation:
The magnetization is 0.23 μB per atom. The total energy is -117.65 eV/cell. The density is 6.6 g/cm3.

# 7
# SrFeAuS3

A geometry-optimized SrFeAuS3 structure (PBE-GGA, the Open Quantum Materials Database).

a = 3.7846 Å, b = 13.1988 Å, c = 9.9282 Å
α = 90.00°, β = 90.00°, γ = 90.00°
Space group Cmcm (No. 63)
One atom of each set of equivalent atoms:
1 Sr 0.0000 0.2461 0.2500 (multiplicity 4)
2 Fe 0.0000 0.0000 0.0000 (multiplicity 4)
3 Au 0.0000 0.4552 0.7500 (multiplicity 4)
4 S 0.0000 0.0844 0.7500 (multiplicity 4)
5 S 0.0000 0.3725 0.5345 (multiplicity 8)

Values from the calculation:
The magnetization is 0.80 μB per atom. The total energy is -115.78 eV/cell. The density is 5.8 g/cm3.

# 8
# TlFeTe2AuS

A geometry-optimized TlFeTe2AuS structure (PBE-GGA, the Open Quantum Materials Database).

a = 4.0348 Å, b = 17.2221 Å, c = 9.0762 Å
α = 90.00°, β = 90.00°, γ = 90.00°
Space group Cmcm (No. 63)
One atom of each set of equivalent atoms:
1 Tl 0.0000 0.2487 0.2500 (multiplicity 4)
2 Fe 0.0000 0.5000 0.0000 (multiplicity 4)
3 Te 0.0000 0.0994 0.0405 (multiplicity 8)
4 Au 0.0000 0.1317 0.7500 (multiplicity 4)
5 S 0.0000 0.4738 0.2500 (multiplicity 4)

Values from the calculation:
The magnetization is 0.35 μB per atom. The total energy is -97.86 eV/cell. The density is 7.8 g/cm3.

# 9
# Fe3Sb5Au

A geometry-optimized Fe3Sb5Au structure (PBE-GGA, the Open Quantum Materials Database).

a = 5.2610 Å, b = 5.2610 Å, c = 8.0239 Å
α = 90.00°, β = 90.00°, γ = 120.00°
Space group P6/mmm (No. 191)
One atom of each set of equivalent atoms:
1 Fe 0.0000 0.5000 0.0000 (multiplicity 3)
2 Sb 0.0000 0.0000 0.0000 (multiplicity 1)
3 Sb 0.3333 0.6667 0.2844 (multiplicity 4)
4 Au 0.0000 0.0000 0.5000 (multiplicity 1)

Values from the calculation:
The magnetization is 0.72 μB per atom. The total energy is -47.82 eV/cell. The density is 8.4 g/cm3.

# 10
# TaFeSbAu

A geometry-optimized TaFeSbAu structure (PBE-GGA, the Open Quantum Materials Database).

a = 6.5631 Å, b = 6.5631 Å, c = 6.5631 Å
α = 90.00°, β = 90.00°, γ = 90.00°
Space group F-43m (No. 216)
One atom of each set of equivalent atoms:
1 Ta 0.0000 0.0000 0.0000 (multiplicity 4)
2 Fe 0.2500 0.2500 0.7500 (multiplicity 4)
3 Sb 0.0000 0.0000 0.5000 (multiplicity 4)
4 Au 0.2500 0.2500 0.2500 (multiplicity 4)

Values from the calculation:
The magnetization is 0.23 μB per atom. The calculation puts the energy above the most stable polymorph in this dataset at 0.49 eV/f.u. The density is 13.1 g/cm3.

# 11
# TaFeSbAu

A geometry-optimized TaFeSbAu structure (PBE-GGA, the Open Quantum Materials Database).

a = 6.5394 Å, b = 6.5394 Å, c = 6.5394 Å
α = 90.00°, β = 90.00°, γ = 90.00°
Space group F-43m (No. 216)
One atom of each set of equivalent atoms:
1 Ta 0.0000 0.0000 0.0000 (multiplicity 4)
2 Fe 0.0000 0.0000 0.5000 (multiplicity 4)
3 Sb 0.2500 0.2500 0.2500 (multiplicity 4)
4 Au 0.2500 0.2500 0.7500 (multiplicity 4)

Values from the calculation:
The magnetization is 0.45 μB per atom. The calculation puts the energy above the most stable polymorph in this dataset at 0.00 eV/f.u. The density is 13.2 g/cm3.

# 12
# FeTcSbAu

A geometry-optimized FeTcSbAu structure (PBE-GGA, the Open Quantum Materials Database).

a = 6.3847 Å, b = 6.3847 Å, c = 6.3847 Å
α = 90.00°, β = 90.00°, γ = 90.00°
Space group F-43m (No. 216)
One atom of each set of equivalent atoms:
1 Fe 0.0000 0.0000 0.0000 (multiplicity 4)
2 Tc 0.0000 0.0000 0.5000 (multiplicity 4)
3 Sb 0.2500 0.2500 0.7500 (multiplicity 4)
4 Au 0.2500 0.2500 0.2500 (multiplicity 4)

Values from the calculation:
The magnetization is 0.63 μB per atom. The calculation puts the energy above the most stable polymorph in this dataset at 0.00 eV/f.u. The density is 12.1 g/cm3.

# 13
# ZnFeSbAu

A geometry-optimized ZnFeSbAu structure (PBE-GGA, the Open Quantum Materials Database).

a = 6.5578 Å, b = 6.5578 Å, c = 6.5578 Å
α = 90.00°, β = 90.00°, γ = 90.00°
Space group F-43m (No. 216)
One atom of each set of equivalent atoms:
1 Zn 0.0000 0.0000 0.0000 (multiplicity 4)
2 Fe 0.0000 0.0000 0.5000 (multiplicity 4)
3 Sb 0.2500 0.2500 0.2500 (multiplicity 4)
4 Au 0.2500 0.2500 0.7500 (multiplicity 4)

Values from the calculation:
The magnetization is 0.66 μB per atom. The calculation puts the energy above the most stable polymorph in this dataset at 0.00 eV/f.u. The density is 10.4 g/cm3.

# 14
# ZrFeSbAu

A geometry-optimized ZrFeSbAu structure (PBE-GGA, the Open Quantum Materials Database).

a = 6.6080 Å, b = 6.6080 Å, c = 6.6080 Å
α = 90.00°, β = 90.00°, γ = 90.00°
Space group F-43m (No. 216)
One atom of each set of equivalent atoms:
1 Zr 0.0000 0.0000 0.0000 (multiplicity 4)
2 Fe 0.0000 0.0000 0.5000 (multiplicity 4)
3 Sb 0.2500 0.2500 0.2500 (multiplicity 4)
4 Au 0.2500 0.2500 0.7500 (multiplicity 4)

Values from the calculation:
The magnetization is 0.49 μB per atom. The calculation puts the energy above the most stable polymorph in this dataset at 0.00 eV/f.u. The density is 10.7 g/cm3.

# 15
# ZrFeSbAu

A geometry-optimized ZrFeSbAu structure (PBE-GGA, the Open Quantum Materials Database).

a = 6.6292 Å, b = 6.6292 Å, c = 6.6292 Å
α = 90.00°, β = 90.00°, γ = 90.00°
Space group F-43m (No. 216)
One atom of each set of equivalent atoms:
1 Zr 0.0000 0.0000 0.0000 (multiplicity 4)
2 Fe 0.2500 0.2500 0.7500 (multiplicity 4)
3 Sb 0.0000 0.0000 0.5000 (multiplicity 4)
4 Au 0.2500 0.2500 0.2500 (multiplicity 4)

Values from the calculation:
The magnetization is 0.41 μB per atom. The calculation puts the energy above the most stable polymorph in this dataset at 0.29 eV/f.u. The density is 10.6 g/cm3.

# 16
# ScFe2Au

A geometry-optimized ScFe2Au structure (PBE-GGA, the Open Quantum Materials Database).

a = 6.2829 Å, b = 6.2829 Å, c = 6.2829 Å
α = 90.00°, β = 90.00°, γ = 90.00°
Space group F-43m (No. 216)
One atom of each set of equivalent atoms:
1 Sc 0.0000 0.0000 0.0000 (multiplicity 4)
2 Fe 0.0000 0.0000 0.5000 (multiplicity 4)
3 Fe 0.2500 0.2500 0.7500 (multiplicity 4)
4 Au 0.2500 0.2500 0.2500 (multiplicity 4)

Values from the calculation:
The magnetization is 1.20 μB per atom. The value obtained for the energy relative to the elements is -0.0876 eV per atom. The density is 9.5 g/cm3.

# 17
# ScFeSiAu

A geometry-optimized ScFeSiAu structure (PBE-GGA, the Open Quantum Materials Database).

a = 6.3635 Å, b = 6.3635 Å, c = 6.3635 Å
α = 90.00°, β = 90.00°, γ = 90.00°
Space group F-43m (No. 216)
One atom of each set of equivalent atoms:
1 Sc 0.0000 0.0000 0.0000 (multiplicity 4)
2 Fe 0.0000 0.0000 0.5000 (multiplicity 4)
3 Si 0.2500 0.2500 0.2500 (multiplicity 4)
4 Au 0.2500 0.2500 0.7500 (multiplicity 4)

Values from the calculation:
The magnetization is 0.63 μB per atom. The calculation puts the energy above the most stable polymorph in this dataset at 0.00 eV/f.u. The density is 8.4 g/cm3.

# 18
# ScFeSiAu

A geometry-optimized ScFeSiAu structure (PBE-GGA, the Open Quantum Materials Database).

a = 6.2729 Å, b = 6.2729 Å, c = 6.2729 Å
α = 90.00°, β = 90.00°, γ = 90.00°
Space group F-43m (No. 216)
One atom of each set of equivalent atoms:
1 Sc 0.0000 0.0000 0.0000 (multiplicity 4)
2 Fe 0.2500 0.2500 0.7500 (multiplicity 4)
3 Si 0.0000 0.0000 0.5000 (multiplicity 4)
4 Au 0.2500 0.2500 0.2500 (multiplicity 4)

Values from the calculation:
The magnetization is 0.44 μB per atom. The calculation puts the energy above the most stable polymorph in this dataset at 0.04 eV/f.u. The density is 8.8 g/cm3.

# 19
# ScTlFeAu

A geometry-optimized ScTlFeAu structure (PBE-GGA, the Open Quantum Materials Database).

a = 6.7035 Å, b = 6.7035 Å, c = 6.7035 Å
α = 90.00°, β = 90.00°, γ = 90.00°
Space group F-43m (No. 216)
One atom of each set of equivalent atoms:
1 Sc 0.0000 0.0000 0.0000 (multiplicity 4)
2 Tl 0.2500 0.2500 0.2500 (multiplicity 4)
3 Fe 0.0000 0.0000 0.5000 (multiplicity 4)
4 Au 0.2500 0.2500 0.7500 (multiplicity 4)

Values from the calculation:
The magnetization is 0.65 μB per atom. The calculation puts the energy above the most stable polymorph in this dataset at 0.00 eV/f.u. The density is 11.1 g/cm3.

# 20
# ScTlFeAu

A geometry-optimized ScTlFeAu structure (PBE-GGA, the Open Quantum Materials Database).

a = 6.6785 Å, b = 6.6785 Å, c = 6.6785 Å
α = 90.00°, β = 90.00°, γ = 90.00°
Space group F-43m (No. 216)
One atom of each set of equivalent atoms:
1 Sc 0.0000 0.0000 0.0000 (multiplicity 4)
2 Tl 0.0000 0.0000 0.5000 (multiplicity 4)
3 Fe 0.2500 0.2500 0.7500 (multiplicity 4)
4 Au 0.2500 0.2500 0.2500 (multiplicity 4)

Values from the calculation:
The magnetization is 0.49 μB per atom. The calculation puts the energy above the most stable polymorph in this dataset at 0.12 eV/f.u. The density is 11.2 g/cm3.